The following is a DFT calculation (PBE) of an optimized crystal structure of BeZn2Cr.

## Properties
Energy of formation from the pure elements: 537 meV/atom
DFT total energy: -3.4371 eV/atom

Lattice parameters (Å, degrees): 3.468 3.468 9.246 79.19 79.19 90.00
Site moments in Bohr magnetons follow the coordinates.
Fractional positions:
Cr: 0.750 0.250 0.500  1.61
Zn: 0.129 0.625 0.250  -0.03
Zn: 0.375 0.379 0.750  -0.03
Be: 0.500 0.500 0.000  -0.08
Be: 0.250 0.750 0.500  -0.08
Cr: 0.000 0.000 0.000  1.60
Zn: 0.621 0.125 0.250  -0.03
Zn: 0.875 0.871 0.750  -0.03

The following is a DFT calculation (PBE) of an optimized crystal structure of Be2ZnCr.

## Properties
Energy of formation from the pure elements: 129 meV/atom
DFT total energy: -4.4583 eV/atom

Lattice parameters (Å, degrees): 2.440 2.440 7.097 90.00 90.00 90.00
Fractional positions:
Be: 0.000 0.000 0.007
Be: 0.000 0.000 0.493
Cr: 0.500 0.500 0.250
Zn: 0.500 0.500 0.750

The following is a DFT calculation (PBE) of an optimized crystal structure of BeZnCr2.

## Properties
Energy of formation from the pure elements: 106 meV/atom
DFT total energy: -5.9553 eV/atom
Polymorph energy (0 for the lowest one): 0.0 meV per atom

Lattice parameters (Å, degrees): 3.927 2.491 4.701 83.45 90.00 90.00
Fractional positions:
Zn: 0.000 0.612 0.504
Cr: 0.000 0.031 0.994
Cr: 0.500 0.212 0.233
Be: 0.500 0.645 0.768

The following is a DFT calculation (PBE) of an optimized crystal structure of BeZnCr2.

## Properties
Energy of formation from the pure elements: 139 meV/atom
DFT total energy: -5.9226 eV/atom
Polymorph energy (0 for the lowest one): 32.6 meV per atom

Lattice parameters (Å, degrees): 2.420 2.420 7.685 90.00 90.00 90.00
Fractional positions:
Cr: 0.000 0.000 0.977
Be: 0.500 0.500 0.750
Zn: 0.500 0.500 0.250
Cr: 0.000 0.000 0.523

The following is a DFT calculation (PBE) of an optimized crystal structure of Be2Zn2Cr.

## Properties
Energy of formation from the pure elements: 202 meV/atom
DFT total energy: -3.7229 eV/atom

Lattice parameters (Å, degrees): 6.604 6.604 2.530 90.00 90.00 90.00
Fractional positions:
Zn: 0.174 0.674 0.500
Zn: 0.826 0.326 0.500
Be: 0.123 0.377 0.000
Be: 0.877 0.623 0.000
Cr: 0.000 0.000 0.000
Zn: 0.674 0.826 0.500
Cr: 0.500 0.500 0.000
Be: 0.377 0.877 0.000
Be: 0.623 0.123 0.000
Zn: 0.326 0.174 0.500

The following is a DFT calculation (PBE) of an optimized crystal structure of Be2ZnCr.

## Properties
Energy of formation from the pure elements: 131 meV/atom
DFT total energy: -4.4567 eV/atom

Lattice parameters (Å, degrees): 4.500 4.500 4.187 71.66 71.66 31.25
Fractional positions:
Be: 0.981 0.981 0.962
Zn: 0.732 0.732 0.810
Cr: 0.515 0.515 0.436
Be: 0.271 0.271 0.292

The following is a DFT calculation (PBE) of an optimized crystal structure of BeZnCr.

## Properties
Energy of formation from the pure elements: 266 meV/atom
DFT total energy: -4.6086 eV/atom
Polymorph energy (0 for the lowest one): 115.9 meV per atom

Lattice parameters (Å, degrees): 2.535 2.535 6.248 90.00 90.00 120.00
Fractional positions:
Cr: 0.667 0.333 0.316
Zn: 0.333 0.667 0.674
Be: 0.000 0.000 0.010

The following is a DFT calculation (PBE) of an optimized crystal structure of BeZn2Cr.

## Properties
Energy of formation from the pure elements: 198 meV/atom
DFT total energy: -3.7767 eV/atom

Lattice parameters (Å, degrees): 4.189 4.189 4.154 120.46 120.46 89.78
Site moments in Bohr magnetons follow the coordinates.
Fractional positions:
Be: 0.500 0.500 0.000  -0.04
Zn: 0.000 0.000 0.000  -0.01
Zn: 0.250 0.750 0.500  -0.05
Cr: 0.750 0.250 0.500  2.96

The following is a DFT calculation (PBE) of an optimized crystal structure of Be2ZnCr.

## Properties
Energy of formation from the pure elements: 236 meV/atom
DFT total energy: -4.3512 eV/atom

Lattice parameters (Å, degrees): 8.208 8.208 8.208 17.51 17.51 17.51
Fractional positions:
Zn: 0.750 0.750 0.750
Be: 0.504 0.504 0.504
Cr: 0.250 0.250 0.250
Be: 0.996 0.996 0.996

The following is a DFT calculation (PBE) of an optimized crystal structure of BeZnCr.

## Properties
Energy of formation from the pure elements: 422 meV/atom
DFT total energy: -4.4522 eV/atom
Polymorph energy (0 for the lowest one): 272.4 meV per atom

Lattice parameters (Å, degrees): 3.800 3.800 3.800 60.00 60.00 60.00
Site moments in Bohr magnetons follow the coordinates.
Fractional positions:
Zn: 0.500 0.500 0.500  -0.10
Be: 0.750 0.750 0.750  -0.10
Cr: 0.000 0.000 0.000  2.37

The following is a DFT calculation (PBE) of an optimized crystal structure of BeZn2Cr.

## Properties
Energy of formation from the pure elements: 142 meV/atom
DFT total energy: -3.8327 eV/atom

Lattice parameters (Å, degrees): 2.503 2.503 7.858 90.00 90.00 100.26
Fractional positions:
Be: 0.000 0.000 0.511
Cr: 0.500 0.500 0.727
Zn: 0.000 0.000 0.988
Zn: 0.500 0.500 0.275

The following is a DFT calculation (PBE) of an optimized crystal structure of BeZn2Cr.

## Properties
Energy of formation from the pure elements: 294 meV/atom
DFT total energy: -3.6805 eV/atom

Lattice parameters (Å, degrees): 8.545 8.545 8.545 17.44 17.44 17.44
Site moments in Bohr magnetons follow the coordinates.
Fractional positions:
Be: 0.250 0.250 0.250  0.00
Zn: 0.504 0.504 0.504  0.00
Zn: 0.996 0.996 0.996  0.00
Cr: 0.750 0.750 0.750  0.22

What theoretical density values result from the calculations? In sequence: 5.942; 5.322; 6.486; 6.582; 6.045; 5.410; 6.039; 6.253; 5.146; 5.410; 6.577; 6.513 g/cm³.
What density of states at the Fermi level values result from the calculations? In sequence: 6.07; 2.33; 1.60; 2.01; 1.81; 1.47; 1.76; 2.13; 1.69; 1.26; 1.30; 2.55 states/eV per cell.